[1]
## Th3TcBr3 (PBE-GGA)

Data for Th3TcBr3 after structural relaxation.

* DFT total energy: -6.33 eV/atom
* raw formation energy: -0.9482 eV/atom
* symmetry: P2_1/m, No. 11
* N(E_F): 12.8 states/eV per cell

Geometry as CIF:
```
data_Th3TcBr3
_chemical_formula_sum 'Th6 Tc2 Br6'
_symmetry_space_group_name_H-M 'P 1'
_symmetry_Int_Tables_number 1
_symmetry_space_group_name_Hall 'P 1'
_cell_length_a 9.3611
_cell_length_b 4.0000
_cell_length_c 12.3476
_cell_angle_alpha 90.00
_cell_angle_beta 93.15
_cell_angle_gamma 90.00
loop_
_atom_site_label
_atom_site_fract_x
_atom_site_fract_y
_atom_site_fract_z
Th1 0.0814 0.2500 0.3870
Th2 0.1350 0.2500 0.8511
Th3 0.3281 0.7500 0.6271
Th4 0.6719 0.2500 0.3729
Th5 0.8650 0.7500 0.1489
Th6 0.9186 0.7500 0.6130
Tc1 0.1303 0.2500 0.6277
Tc2 0.8697 0.7500 0.3723
Br1 0.1160 0.2500 0.1161
Br2 0.3799 0.7500 0.3768
Br3 0.3864 0.7500 0.8757
Br4 0.6136 0.2500 0.1243
Br5 0.6201 0.2500 0.6232
Br6 0.8840 0.7500 0.8839
```

---

[2]
## Th2TcBr (PBE-GGA)

Data for Th2TcBr after structural relaxation.

* DFT total energy: -7.35 eV/atom
* raw formation energy: -0.6330 eV/atom
* offset from the most stable computed form: 0.000 eV/atom
* symmetry: R-3m, No. 166
* N(E_F): 3.5 states/eV per cell

Geometry as CIF:
```
data_Th2TcBr
_chemical_formula_sum 'Th6 Tc3 Br3'
_symmetry_space_group_name_H-M 'P 1'
_symmetry_Int_Tables_number 1
_symmetry_space_group_name_Hall 'P 1'
_cell_length_a 4.1468
_cell_length_b 4.1468
_cell_length_c 23.8808
_cell_angle_alpha 90.00
_cell_angle_beta 90.00
_cell_angle_gamma 120.00
loop_
_atom_site_label
_atom_site_fract_x
_atom_site_fract_y
_atom_site_fract_z
Th1 0.0000 0.0000 0.2285
Th2 0.0000 0.0000 0.7715
Th3 0.3333 0.6667 0.4382
Th4 0.3333 0.6667 0.8951
Th5 0.6667 0.3333 0.1049
Th6 0.6667 0.3333 0.5618
Tc1 0.0000 0.0000 0.5000
Tc2 0.3333 0.6667 0.1667
Tc3 0.6667 0.3333 0.8333
Br1 0.0000 0.0000 0.0000
Br2 0.3333 0.6667 0.6667
Br3 0.6667 0.3333 0.3333
```

---

[3]
## Th4Tc2Br5 (PBE-GGA)

Data for Th4Tc2Br5 after structural relaxation.

* DFT total energy: -6.12 eV/atom
* raw formation energy: -0.7719 eV/atom
* symmetry: Immm, No. 71
* N(E_F): 4.7 states/eV per cell

Geometry as CIF:
```
data_Th4Tc2Br5
_chemical_formula_sum 'Th4 Tc2 Br5'
_symmetry_space_group_name_H-M 'P 1'
_symmetry_Int_Tables_number 1
_symmetry_space_group_name_Hall 'P 1'
_cell_length_a 10.6390
_cell_length_b 10.6390
_cell_length_c 10.6390
_cell_angle_alpha 159.38
_cell_angle_beta 130.48
_cell_angle_gamma 54.19
loop_
_atom_site_label
_atom_site_fract_x
_atom_site_fract_y
_atom_site_fract_z
Th1 0.1916 0.1916 0.0000
Th2 0.2096 0.5000 0.7096
Th3 0.7904 0.5000 0.2904
Th4 0.8084 0.8084 0.0000
Tc1 0.0670 0.0670 0.0000
Tc2 0.9330 0.9330 0.0000
Br1 0.1225 0.3279 0.7947
Br2 0.4668 0.6721 0.7947
Br3 0.5000 0.0000 0.5000
Br4 0.5332 0.3279 0.2053
Br5 0.8775 0.6721 0.2053
```

---

[4]
## Th2TcBr (PBE-GGA)

Data for Th2TcBr after structural relaxation.

* DFT total energy: -7.33 eV/atom
* raw formation energy: -0.6133 eV/atom
* offset from the most stable computed form: 0.020 eV/atom
* symmetry: R3m, No. 160
* N(E_F): 4.1 states/eV per cell

Geometry as CIF:
```
data_Th2TcBr
_chemical_formula_sum 'Th6 Tc3 Br3'
_symmetry_space_group_name_H-M 'P 1'
_symmetry_Int_Tables_number 1
_symmetry_space_group_name_Hall 'P 1'
_cell_length_a 4.1120
_cell_length_b 4.1120
_cell_length_c 24.2715
_cell_angle_alpha 90.00
_cell_angle_beta 90.00
_cell_angle_gamma 120.00
loop_
_atom_site_label
_atom_site_fract_x
_atom_site_fract_y
_atom_site_fract_z
Th1 0.0000 0.0000 0.0000
Th2 0.0000 0.0000 0.2102
Th3 0.3333 0.6667 0.6667
Th4 0.3333 0.6667 0.8769
Th5 0.6667 0.3333 0.3333
Th6 0.6667 0.3333 0.5436
Tc1 0.0000 0.0000 0.6064
Tc2 0.3333 0.6667 0.2730
Tc3 0.6667 0.3333 0.9397
Br1 0.0000 0.0000 0.4357
Br2 0.3333 0.6667 0.1024
Br3 0.6667 0.3333 0.7691
```

---

[5]
## Th2TcBr2 (PBE-GGA)

Data for Th2TcBr2 after structural relaxation.

* DFT total energy: -6.63 eV/atom
* raw formation energy: -0.9217 eV/atom
* symmetry: C2/m, No. 12
* N(E_F): 5.8 states/eV per cell

Geometry as CIF:
```
data_Th2TcBr2
_chemical_formula_sum 'Th4 Tc2 Br4'
_symmetry_space_group_name_H-M 'P 1'
_symmetry_Int_Tables_number 1
_symmetry_space_group_name_Hall 'P 1'
_cell_length_a 11.5986
_cell_length_b 11.5986
_cell_length_c 7.1424
_cell_angle_alpha 103.67
_cell_angle_beta 103.67
_cell_angle_gamma 20.58
loop_
_atom_site_label
_atom_site_fract_x
_atom_site_fract_y
_atom_site_fract_z
Th1 0.1764 0.1764 0.0317
Th2 0.3176 0.3176 0.4694
Th3 0.6824 0.6824 0.5306
Th4 0.8236 0.8236 0.9683
Tc1 0.2523 0.2523 0.7600
Tc2 0.7477 0.7477 0.2400
Br1 0.0864 0.0864 0.2975
Br2 0.4146 0.4146 0.2125
Br3 0.5854 0.5854 0.7875
Br4 0.9136 0.9136 0.7025
```

---

[6]
## Th4TcBr5 (PBE-GGA)

Data for Th4TcBr5 after structural relaxation.

* DFT total energy: -5.98 eV/atom
* raw formation energy: -1.1349 eV/atom
* symmetry: C2/m, No. 12
* N(E_F): 5.6 states/eV per cell

Geometry as CIF:
```
data_Th4TcBr5
_chemical_formula_sum 'Th4 Tc1 Br5'
_symmetry_space_group_name_H-M 'P 1'
_symmetry_Int_Tables_number 1
_symmetry_space_group_name_Hall 'P 1'
_cell_length_a 9.2428
_cell_length_b 9.2428
_cell_length_c 9.1318
_cell_angle_alpha 98.29
_cell_angle_beta 98.29
_cell_angle_gamma 24.23
loop_
_atom_site_label
_atom_site_fract_x
_atom_site_fract_y
_atom_site_fract_z
Th1 0.0015 0.0015 0.2110
Th2 0.3322 0.3322 0.9558
Th3 0.6678 0.6678 0.0442
Th4 0.9985 0.9985 0.7890
Tc1 0.5000 0.5000 0.0000
Br1 0.1671 0.1671 0.7763
Br2 0.1678 0.1678 0.3097
Br3 0.5000 0.5000 0.5000
Br4 0.8322 0.8322 0.6903
Br5 0.8329 0.8329 0.2237
```

---

[7]
## TiTc3Br (PBE-GGA)

Data for TiTc3Br after structural relaxation.

* DFT total energy: -6.42 eV/atom
* raw formation energy: 1.7083 eV/atom
* offset from the most stable computed form: 0.343 eV/atom
* symmetry: Pm-3m, No. 221
* N(E_F): 7.0 states/eV per cell

Geometry as CIF:
```
data_TiTc3Br
_chemical_formula_sum 'Ti1 Tc3 Br1'
_symmetry_space_group_name_H-M 'P 1'
_symmetry_Int_Tables_number 1
_symmetry_space_group_name_Hall 'P 1'
_cell_length_a 4.6605
_cell_length_b 4.6605
_cell_length_c 4.6605
_cell_angle_alpha 90.00
_cell_angle_beta 90.00
_cell_angle_gamma 90.00
loop_
_atom_site_label
_atom_site_fract_x
_atom_site_fract_y
_atom_site_fract_z
Ti1 0.0000 0.0000 0.0000
Tc1 0.0000 0.0000 0.5000
Tc2 0.0000 0.5000 0.0000
Tc3 0.5000 0.0000 0.0000
Br1 0.5000 0.5000 0.5000
```

---

[8]
## TiTcBr3 (PBE-GGA)

Data for TiTcBr3 after structural relaxation.

* DFT total energy: -4.34 eV/atom
* raw formation energy: 0.3139 eV/atom
* symmetry: Pm-3m, No. 221
* N(E_F): 14.1 states/eV per cell

Geometry as CIF:
```
data_TiTcBr3
_chemical_formula_sum 'Ti1 Tc1 Br3'
_symmetry_space_group_name_H-M 'P 1'
_symmetry_Int_Tables_number 1
_symmetry_space_group_name_Hall 'P 1'
_cell_length_a 5.2254
_cell_length_b 5.2254
_cell_length_c 5.2254
_cell_angle_alpha 90.00
_cell_angle_beta 90.00
_cell_angle_gamma 90.00
loop_
_atom_site_label
_atom_site_fract_x
_atom_site_fract_y
_atom_site_fract_z
Ti1 0.0000 0.0000 0.0000
Tc1 0.5000 0.5000 0.5000
Br1 0.0000 0.0000 0.5000
Br2 0.0000 0.5000 0.0000
Br3 0.5000 0.0000 0.0000
```

---

[9]
## Ti2TcBr (PBE-GGA)

Data for Ti2TcBr after structural relaxation.

* DFT total energy: -6.66 eV/atom
* raw formation energy: 0.2945 eV/atom
* offset from the most stable computed form: 0.000 eV/atom
* symmetry: Fm-3m, No. 225
* N(E_F): 18.7 states/eV per cell

Geometry as CIF:
```
data_Ti2TcBr
_chemical_formula_sum 'Ti8 Tc4 Br4'
_symmetry_space_group_name_H-M 'P 1'
_symmetry_Int_Tables_number 1
_symmetry_space_group_name_Hall 'P 1'
_cell_length_a 6.4132
_cell_length_b 6.4132
_cell_length_c 6.4132
_cell_angle_alpha 90.00
_cell_angle_beta 90.00
_cell_angle_gamma 90.00
loop_
_atom_site_label
_atom_site_fract_x
_atom_site_fract_y
_atom_site_fract_z
Ti1 0.2500 0.2500 0.2500
Ti2 0.2500 0.2500 0.7500
Ti3 0.2500 0.7500 0.2500
Ti4 0.2500 0.7500 0.7500
Ti5 0.7500 0.2500 0.2500
Ti6 0.7500 0.2500 0.7500
Ti7 0.7500 0.7500 0.2500
Ti8 0.7500 0.7500 0.7500
Tc1 0.0000 0.0000 0.0000
Tc2 0.0000 0.5000 0.5000
Tc3 0.5000 0.0000 0.5000
Tc4 0.5000 0.5000 0.0000
Br1 0.0000 0.0000 0.5000
Br2 0.0000 0.5000 0.0000
Br3 0.5000 0.0000 0.0000
Br4 0.5000 0.5000 0.5000
```

---

[10]
## Ti2TcBr (PBE-GGA)

Data for Ti2TcBr after structural relaxation.

* DFT total energy: -6.44 eV/atom
* raw formation energy: 0.5217 eV/atom
* offset from the most stable computed form: 0.227 eV/atom
* symmetry: I-42d, No. 122
* N(E_F): 18.4 states/eV per cell

Geometry as CIF:
```
data_Ti2TcBr
_chemical_formula_sum 'Ti8 Tc4 Br4'
_symmetry_space_group_name_H-M 'P 1'
_symmetry_Int_Tables_number 1
_symmetry_space_group_name_Hall 'P 1'
_cell_length_a 5.7235
_cell_length_b 5.7235
_cell_length_c 11.6904
_cell_angle_alpha 90.00
_cell_angle_beta 90.00
_cell_angle_gamma 90.00
loop_
_atom_site_label
_atom_site_fract_x
_atom_site_fract_y
_atom_site_fract_z
Ti1 0.2039 0.2500 0.1250
Ti2 0.2500 0.7039 0.3750
Ti3 0.2500 0.7961 0.8750
Ti4 0.2961 0.2500 0.6250
Ti5 0.7039 0.7500 0.6250
Ti6 0.7500 0.2039 0.8750
Ti7 0.7500 0.2961 0.3750
Ti8 0.7961 0.7500 0.1250
Tc1 0.0000 0.0000 0.0000
Tc2 0.0000 0.5000 0.2500
Tc3 0.5000 0.0000 0.7500
Tc4 0.5000 0.5000 0.5000
Br1 0.0000 0.0000 0.5000
Br2 0.0000 0.5000 0.7500
Br3 0.5000 0.0000 0.2500
Br4 0.5000 0.5000 0.0000
```

---

[11]
## TiTc3Br (PBE-GGA)

Data for TiTc3Br after structural relaxation.

* DFT total energy: -6.77 eV/atom
* raw formation energy: 1.3652 eV/atom
* offset from the most stable computed form: 0.000 eV/atom
* symmetry: Pm-3m, No. 221
* N(E_F): 6.1 states/eV per cell

Geometry as CIF:
```
data_TiTc3Br
_chemical_formula_sum 'Ti1 Tc3 Br1'
_symmetry_space_group_name_H-M 'P 1'
_symmetry_Int_Tables_number 1
_symmetry_space_group_name_Hall 'P 1'
_cell_length_a 4.5095
_cell_length_b 4.5095
_cell_length_c 4.5095
_cell_angle_alpha 90.00
_cell_angle_beta 90.00
_cell_angle_gamma 90.00
loop_
_atom_site_label
_atom_site_fract_x
_atom_site_fract_y
_atom_site_fract_z
Ti1 0.0000 0.0000 0.0000
Tc1 0.0000 0.5000 0.5000
Tc2 0.5000 0.0000 0.5000
Tc3 0.5000 0.5000 0.0000
Br1 0.5000 0.5000 0.5000
```

---

[12]
## TlTc2Br (PBE-GGA)

Data for TlTc2Br after structural relaxation.

* DFT total energy: -5.92 eV/atom
* raw formation energy: 0.2755 eV/atom
* offset from the most stable computed form: 0.000 eV/atom
* symmetry: Pm, No. 6
* N(E_F): 2.8 states/eV per cell

Geometry as CIF:
```
data_TlTc2Br
_chemical_formula_sum 'Tl1 Tc2 Br1'
_symmetry_space_group_name_H-M 'P 1'
_symmetry_Int_Tables_number 1
_symmetry_space_group_name_Hall 'P 1'
_cell_length_a 3.1376
_cell_length_b 3.0797
_cell_length_c 8.6291
_cell_angle_alpha 90.00
_cell_angle_beta 100.25
_cell_angle_gamma 90.00
loop_
_atom_site_label
_atom_site_fract_x
_atom_site_fract_y
_atom_site_fract_z
Tl1 0.0000 0.0000 0.0000
Tc1 0.2027 0.0000 0.4138
Tc2 0.6234 0.5000 0.2519
Br1 0.3260 0.5000 0.6598
```